This record from Alexandria via LeMat-Bulk describes a relaxed structure of CaSi2As. The functional is PBE.

Values from the calculation:
M_tot = 0.0000 μB/atom
symmetry = C2/m (12)
formation energy from raw total energies = -0.187 eV per atom
total DFT energy (no corrections) = -18.24 eV/cell
D(E_F) = 0.631 states/eV/cell

Unit cell a=5.0572 b=5.0572 c=5.0529 alpha=74.35 beta=74.35 gamma=41.72
Closest atoms and distances in Å follow each position.
Element x y z (fractional)
1 Si 0.0173 0.0173 0.9038  2 Si 2.46
2 Si 0.4827 0.4827 0.5962  2 Si 2.46
3 As 0.7500 0.7500 0.7500  6 Si 2.77-2.85, 4 Ca 3.10
4 Ca 0.2500 0.2500 0.2500  4 As 3.10, 8 Si 3.18-3.40